The following is a DFT calculation (PBE) of a relaxed structure of Hf2TeBr.

The uncorrected formation energy is -22.8 kJ/mol of atoms. Its total moment is 0.00 μB/f.u. The density of states at the Fermi level comes out at 12.583 states/eV/cell. The calculation puts the offset from the most stable computed form at 0 meV/atom.

It has space group Fm-3m (No. 225), with a = 6.954 Å, b = 6.954 Å, c = 6.954 Å, α = 90.00°, β = 90.00° and γ = 90.00°. The asymmetric unit holds Hf at (0.250, 0.250, 0.250), Te at (0.000, 0.000, 0.000) and Br at (0.000, 0.000, 0.500).


The following is a DFT calculation (PBE) of a relaxed structure of HgMoBr2.

The uncorrected formation energy is 31.3 kJ/mol of atoms. Its total moment is 0.00 μB/f.u. The density of states at the Fermi level comes out at 19.822 states/eV/cell. The calculation puts the offset from the most stable computed form at 359 meV/atom.

It has space group I-42d (No. 122), with a = 7.810 Å, b = 7.810 Å, c = 9.447 Å, α = 90.00°, β = 90.00° and γ = 90.00°. The asymmetric unit holds Hg at (0.000, 0.000, 0.000), Mo at (0.000, 0.000, 0.500) and Br at (0.119, 0.250, 0.625).


The following is a DFT calculation (PBE) of a relaxed structure of KLiTa2.

Its total moment is 1.61 μB/f.u. The density of states at the Fermi level comes out at 9.386 states/eV/cell. The energy of formation from the pure elements comes out at 1.4100 eV/atom. The calculation puts the offset from the most stable computed form at 825 meV/atom.

It has space group I-4m2 (No. 119), with a = 4.925 Å, b = 4.925 Å, c = 6.979 Å, α = 90.00°, β = 90.00° and γ = 90.00°. The asymmetric unit holds K at (0.000, 0.000, 0.000), Li at (0.000, 0.500, 0.750), Ta at (0.000, 0.000, 0.500) and Ta at (0.000, 0.500, 0.250).


The following is a DFT calculation (PBE) of a relaxed structure of PrMgAl2Cu4.

Its total moment is 0.00 μB/f.u. The density of states at the Fermi level comes out at 16.690 states/eV/cell. The energy of formation from the pure elements comes out at -0.2336 eV/atom.

It has space group R-3m (No. 166, hexagonal axes), with a = 4.2409 Å, b = 4.2409 Å, c = 26.4420 Å, α = 90.00°, β = 90.00° and γ = 120.00°. The asymmetric unit holds Pr at (0.0000, 0.0000, 0.0000), Mg at (0.0000, 0.0000, 0.5000), Al at (0.0000, 0.0000, 0.2407), Cu at (0.0000, 0.0000, 0.1196) and Cu at (0.0000, 0.0000, 0.4046).


The following is a DFT calculation (PBE) of a relaxed structure of SrIrPd2N.

The uncorrected formation energy is 201.8 kJ/mol of atoms. Its total moment is 3.02 μB/f.u. The density of states at the Fermi level comes out at 6.569 states/eV/cell.

It has space group P4/mmm (No. 123), with a = 5.167 Å, b = 5.167 Å, c = 4.274 Å, α = 90.00°, β = 90.00° and γ = 90.00°. The asymmetric unit holds Sr at (0.000, 0.000, 0.000), Ir at (0.500, 0.500, 0.500), Pd at (0.000, 0.500, 0.000) and N at (0.000, 0.000, 0.500).


The following is a DFT calculation (PBE) of a relaxed structure of Ba2LiHgAu6.

Its total moment is 0.00 μB/f.u. The density of states at the Fermi level comes out at 5.689 states/eV/cell. The energy of formation from the pure elements comes out at -0.3519 eV/atom.

It has space group C2/m (No. 12), with a = 10.201 Å, b = 10.214 Å, c = 7.214 Å, α = 90.00°, β = 134.81° and γ = 90.00°. The asymmetric unit holds Ba at (0.000, 0.250, 0.000), Li at (0.000, 0.000, 0.500), Hg at (0.000, 0.500, 0.500), Au at (0.000, 0.231, 0.500), Au at (0.231, 0.000, 0.500) and Au at (0.231, 0.000, 0.962).


The following is a DFT calculation (PBE) of a relaxed structure of BaPmTlAg.

Its total moment is 0.00 μB/f.u. The density of states at the Fermi level comes out at 12.766 states/eV/cell. The energy of formation from the pure elements comes out at -0.2107 eV/atom.

It has space group F-43m (No. 216), with a = 8.005 Å, b = 8.005 Å, c = 8.005 Å, α = 90.00°, β = 90.00° and γ = 90.00°. The asymmetric unit holds Ba at (0.000, 0.000, 0.000), Pm at (0.000, 0.000, 0.500), Tl at (0.250, 0.250, 0.250) and Ag at (0.250, 0.250, 0.750).


The following is a DFT calculation (PBE) of a relaxed structure of MgNiP2Cl.

The uncorrected formation energy is 85.7 kJ/mol of atoms. Its total moment is 0.41 μB/f.u. The density of states at the Fermi level comes out at 8.787 states/eV/cell. The calculation puts the offset from the most stable computed form at 790 meV/atom.

It has space group P4/mmm (No. 123), with a = 4.838 Å, b = 4.838 Å, c = 4.689 Å, α = 90.00°, β = 90.00° and γ = 90.00°. The asymmetric unit holds Mg at (0.000, 0.000, 0.000), Ni at (0.500, 0.500, 0.500), P at (0.000, 0.500, 0.000) and Cl at (0.000, 0.000, 0.500).


Calculated final energy, -6.416, -3.296, -5.269, -4.014, -3.760, -2.924, -3.183, -3.121 eV/atom (same order as the records).
Calculated V, 21.02, 36.01, 21.16, 17.16, 22.82, 26.66, 32.05, 21.95 A^3/atom (same order as the records).